DFT (PBE) results for an optimized crystal structure of ErGa2Ag3.

```
ErGa2Ag3
1.0
-2.511 -2.490 -2.592
0.669 -7.599 2.940
-5.699 -3.216 4.900
Ag Ga Er
6 4 2
direct
0.326 0.475 0.875 Ag
0.000 0.329 0.671 Ag
0.326 0.875 0.475 Ag
0.674 0.125 0.525 Ag
0.674 0.525 0.125 Ag
0.000 0.671 0.329 Ag
0.194 0.306 0.306 Ga
0.500 0.154 0.846 Ga
0.806 0.694 0.694 Ga
0.500 0.846 0.154 Ga
0.132 0.868 0.868 Er
0.868 0.132 0.132 Er
```

* energy above the most stable polymorph in this dataset: 0.22 eV per formula unit
* formation energy from the elements: -225.4 meV/atom
* E_tot: -0.2514 Ry per atom
* density of states at the Fermi level: 5.0 states/eV per cell
* crystal system: orthorhombic



DFT (PBE) results for an optimized crystal structure of Cs3PrI6.

```
Cs3PrI6
1.0
9.121 0.000 0.119
0.000 9.755 0.000
0.282 0.000 12.932
I Cs Pr
12 6 2
direct
0.338 0.768 0.424 I
0.721 0.175 0.948 I
0.838 0.732 0.924 I
0.631 0.445 0.275 I
0.162 0.268 0.076 I
0.662 0.232 0.576 I
0.131 0.055 0.775 I
0.221 0.325 0.448 I
0.869 0.945 0.225 I
0.279 0.825 0.052 I
0.779 0.675 0.552 I
0.369 0.555 0.725 I
0.033 0.578 0.259 Cs
0.467 0.078 0.241 Cs
0.000 0.000 0.500 Cs
0.533 0.922 0.759 Cs
0.500 0.500 0.000 Cs
0.967 0.422 0.741 Cs
0.500 0.500 0.500 Pr
0.000 0.000 0.000 Pr
```

* E_tot: -0.2344 Ry per atom
* density of states at the Fermi level: 0.0 states/eV per cell
* formation energy (no corrections): -1.525 eV/atom
* crystal system: monoclinic



DFT (PBE) results for an optimized crystal structure of Ti2V9W.

```
Ti2V9W
1.0
-3.645 0.982 3.437
-1.878 -3.775 2.879
3.641 0.471 7.519
V W Ti
9 1 2
direct
0.416 0.416 0.249 V
0.919 0.416 0.249 V
0.667 0.667 0.998 V
0.333 0.333 0.002 V
0.416 0.919 0.249 V
0.584 0.584 0.751 V
0.584 0.081 0.751 V
0.081 0.584 0.751 V
0.500 0.500 0.500 V
0.000 0.000 0.000 W
0.145 0.145 0.564 Ti
0.855 0.855 0.436 Ti
```

* formation energy from the elements: 221.1 meV/atom
* E_tot: -0.6624 Ry per atom
* density of states at the Fermi level: 16.5 states/eV per cell
* crystal system: trigonal



DFT (PBE) results for an optimized crystal structure of LiZr2PtC.

```
LiZr2PtC
1.0
5.380 0.000 0.000
0.000 3.777 0.000
0.000 0.000 5.380
C Zr Pt Li
1 2 1 1
direct
0.000 0.500 0.000 C
0.500 0.000 0.000 Zr
0.000 0.000 0.500 Zr
0.000 0.000 0.000 Pt
0.500 0.500 0.500 Li
```

* energy above the most stable polymorph in this dataset: 6.31 eV per formula unit
* formation energy from the elements: 752.9 meV/atom
* E_tot: -0.4485 Ry per atom
* density of states at the Fermi level: 5.5 states/eV per cell
* crystal system: tetragonal